DFT (SCAN) results for a crystal of KOs2PbCl relaxed with PBEsol.

```
KOs2PbCl
1.0
5.0640 0.0000 0.0000
0.0000 5.0640 0.0000
0.0000 0.0000 5.9844
Pb K Os Cl
1 1 2 1
Cartesian
0.0000 0.0000 0.0000 Pb
2.5320 2.5320 2.9922 K
0.0000 2.5320 0.0000 Os
2.5320 0.0000 0.0000 Os
0.0000 0.0000 2.9922 Cl
```

Computed properties:
**Theoretical density**: 7.165 g/cm3
**Total magnetic moment**: 3.947 μB per formula unit
**ΔE_f (raw)**: 1.56 eV/atom
**Calculated volume**: 153.5 Å³/cell
**Density of states at the Fermi level**: 0.503 states/eV per atom